InRh2Cl: relaxed, GGA-PBE.

a b c (Å): 4.622 4.622 4.622
angles (deg): 60.00 60.00 60.00
Sites, in units of the cell vectors:
In 0.000 0.000 0.000
Rh 0.500 0.500 0.500
Rh 0.750 0.750 0.750
Cl 0.250 0.250 0.250

## Properties
ΔE to the lowest computed polymorph = 381 meV per atom
energy = -17.88 eV/cell
calculated volume = 17.46 Å³ per atom
space group = F-43m
E_form (uncorrected) = 0.353 eV per atom

InRhCl: relaxed, GGA-PBE.

a b c (Å): 3.409 3.409 5.864
angles (deg): 90.00 90.00 120.00
Sites, in units of the cell vectors:
In 0.000 0.000 0.000
Rh 0.667 0.333 0.299
Cl 0.333 0.667 0.638

## Properties
ΔE to the lowest computed polymorph = 163 meV per atom
energy = -12.34 eV/cell
calculated volume = 19.67 Å³ per atom
space group = P3m1
E_form (uncorrected) = -0.135 eV per atom

InRh2Cl: relaxed, GGA-PBE.

a b c (Å): 3.086 3.086 7.523
angles (deg): 90.00 90.00 90.00
Sites, in units of the cell vectors:
In 0.000 0.000 0.000
Rh 0.000 0.000 0.445
Rh 0.500 0.500 0.228
Cl 0.500 0.500 0.680

## Properties
ΔE to the lowest computed polymorph = 119 meV per atom
energy = -18.92 eV/cell
calculated volume = 17.91 Å³ per atom
space group = P4mm
E_form (uncorrected) = 0.092 eV per atom